[1]
A relaxed ScCu2Si crystal. Source: Alexandria via LeMat-Bulk, functional GGA-PBE.

Cell: 3.998 3.998 8.808 Å, 76.88 76.88 90.00°
Fractional coordinates of all 8 atoms:
Sc: 0.750 0.250 0.500
Cu: 0.875 0.794 0.750
Si: 0.250 0.750 0.500
Cu: 0.544 0.125 0.250
Cu: 0.206 0.625 0.250
Sc: 0.000 0.000 0.000
Si: 0.500 0.500 0.000
Cu: 0.375 0.456 0.750

Summary:
symmetry	I-42d
energy	-5.05	eV per atom
calculated volume	133	Å³/cell
mass density	4.98	g cm⁻³
N(E_F)	0.320	states/eV per atom



[2]
A relaxed NaLaRePb2 crystal. Source: Alexandria via LeMat-Bulk, functional GGA-PBE.

Cell: 5.288 5.352 5.288 Å, 90.00 90.00 90.00°
Fractional coordinates of all 5 atoms:
La: 0.500 0.500 0.500
Na: 0.000 0.500 0.000
Pb: 0.000 0.000 0.500
Pb: 0.500 0.000 0.000
Re: 0.000 0.000 0.000

Summary:
ΔE_f	0.540	eV/atom
symmetry	P4/mmm
calculated volume	150	Å³/cell
mass density	8.46	g cm⁻³
N(E_F)	0.854	states/eV per atom



[3]
A relaxed MgFeP2S crystal. Source: Alexandria via LeMat-Bulk, functional GGA-PBE.

Cell: 4.145 4.145 5.360 Å, 90.00 90.00 90.00°
Fractional coordinates of all 5 atoms:
P: 0.500 0.000 0.000
S: 0.000 0.000 0.500
P: 0.000 0.500 0.000
Fe: 0.000 0.000 0.000
Mg: 0.500 0.500 0.500

Summary:
energy above the lowest structure with this stoichiometry	0.000	eV per atom
symmetry	P4/mmm
calculated volume	92	Å³/cell
mass density	3.14	g cm⁻³
N(E_F)	0.464	states/eV per atom



[4]
A relaxed CaYPt crystal. Source: Alexandria via LeMat-Bulk, functional GGA-PBE.

Cell: 5.582 8.591 7.570 Å, 87.00 77.60 90.41°
Fractional coordinates of all 12 atoms:
Pt: 0.819 0.617 0.298
Pt: 0.181 0.383 0.702
Pt: 0.819 0.117 0.798
Y: 0.706 0.896 0.102
Ca: 0.230 0.647 0.921
Ca: 0.230 0.147 0.421
Pt: 0.181 0.883 0.202
Y: 0.706 0.396 0.602
Y: 0.294 0.604 0.398
Ca: 0.770 0.853 0.579
Ca: 0.770 0.353 0.079
Y: 0.294 0.104 0.898

Summary:
energy above the lowest structure with this stoichiometry	0.005	eV per atom
ΔE_f	-0.813	eV/atom
symmetry	P-1
calculated volume	354	Å³/cell
mass density	6.08	g cm⁻³
N(E_F)	0.842	states/eV per atom



[5]
A relaxed PmU2Si2Pt7 crystal. Source: Alexandria via LeMat-Bulk, functional GGA-PBE.

Cell: 4.068 4.068 13.853 Å, 83.96 83.96 88.84°
Fractional coordinates of all 12 atoms:
Pt: 0.500 0.500 0.000
Pm: 0.000 0.000 0.000
Si: 0.406 0.406 0.258
U: 0.119 0.119 0.640
Pt: 0.642 0.642 0.569
U: 0.881 0.881 0.360
Pt: 0.439 0.938 0.166
Si: 0.594 0.594 0.742
Pt: 0.938 0.439 0.166
Pt: 0.062 0.561 0.834
Pt: 0.561 0.062 0.834
Pt: 0.358 0.358 0.431

Summary:
symmetry	C2/m
energy	-7.50	eV per atom
calculated volume	227	Å³/cell
mass density	14.96	g cm⁻³
N(E_F)	1.549	states/eV per atom



[6]
A relaxed YTcHg crystal. Source: Alexandria via LeMat-Bulk, functional GGA-PBE.

Cell: 5.521 5.521 3.590 Å, 71.03 71.03 37.95°
Fractional coordinates of all 3 atoms:
Hg: 0.982 0.982 0.018
Tc: 0.343 0.343 0.657
Y: 0.675 0.675 0.325

Summary:
energy above the lowest structure with this stoichiometry	0.000	eV per atom
ΔE_f	0.154	eV/atom
symmetry	I4mm
calculated volume	63	Å³/cell
mass density	10.18	g cm⁻³
N(E_F)	1.172	states/eV per atom



[7]
A relaxed LiTl2As crystal. Source: Alexandria via LeMat-Bulk, functional GGA-PBE.

Cell: 9.479 9.479 7.190 Å, 48.76 48.76 90.00°
Fractional coordinates of all 8 atoms:
Tl: 0.041 0.625 0.250
Li: 0.500 0.500 0.000
Tl: 0.375 0.291 0.750
As: 0.750 0.250 0.500
Tl: 0.875 0.959 0.750
Tl: 0.709 0.125 0.250
As: 0.000 0.000 0.000
Li: 0.250 0.750 0.500

Summary:
energy above the lowest structure with this stoichiometry	0.128	eV per atom
ΔE_f	-0.104	eV/atom
symmetry	I-42d
calculated volume	234	Å³/cell
mass density	6.97	g cm⁻³
N(E_F)	0.008	states/eV per atom



[8]
A relaxed LuHfSc2 crystal. Source: Alexandria via LeMat-Bulk, functional GGA-PBE.

Cell: 4.572 4.640 4.640 Å, 90.00 90.00 90.00°
Fractional coordinates of all 4 atoms:
Sc: 0.000 0.000 0.500
Lu: 0.500 0.500 0.500
Hf: 0.500 0.000 0.000
Sc: 0.000 0.500 0.000

Summary:
energy above the lowest structure with this stoichiometry	0.000	eV per atom
ΔE_f	0.099	eV/atom
symmetry	P4/mmm
calculated volume	98	Å³/cell
mass density	7.48	g cm⁻³
N(E_F)	1.664	states/eV per atom



[9]
A relaxed TaRuPbO6 crystal. Source: Alexandria via LeMat-Bulk, functional GGA-PBE.

Cell: 7.369 7.190 7.371 Å, 119.19 119.99 90.00°
Fractional coordinates of all 18 atoms:
Ta: 0.000 0.000 0.500
O: 0.421 0.678 0.238
Ru: 0.500 0.500 0.000
O: 0.183 0.940 0.762
O: 0.817 0.060 0.238
O: 0.579 0.940 0.762
O: 0.817 0.067 0.634
Ru: 0.500 0.000 0.000
O: 0.579 0.322 0.762
O: 0.817 0.678 0.238
Pb: 0.964 0.714 0.929
O: 0.183 0.322 0.762
O: 0.562 0.312 0.123
Ta: 0.500 0.000 0.500
Pb: 0.036 0.286 0.071
O: 0.183 0.933 0.366
O: 0.421 0.060 0.238
O: 0.438 0.688 0.877

Summary:
symmetry	Imma
energy	-7.62	eV per atom
calculated volume	280	Å³/cell
mass density	6.95	g cm⁻³
N(E_F)	0.216	states/eV per atom



[10]
A relaxed Er4GaGe3 crystal. Source: Alexandria via LeMat-Bulk, functional GGA-PBE.

Cell: 4.259 3.947 10.678 Å, 90.00 90.00 90.00°
Fractional coordinates of all 8 atoms:
Ge: 0.000 0.000 0.415
Er: 0.000 0.500 0.860
Er: 0.500 0.000 0.639
Ge: 0.500 0.000 0.918
Ge: 0.000 0.500 0.586
Er: 0.000 0.000 0.139
Er: 0.500 0.500 0.361
Ga: 0.500 0.500 0.081

Summary:
ΔE_f	-0.822	eV/atom
symmetry	Pmm2
calculated volume	179	Å³/cell
mass density	8.85	g cm⁻³
N(E_F)	0.475	states/eV per atom



[11]
A relaxed PaMn2AlGe4 crystal. Source: Alexandria via LeMat-Bulk, functional GGA-PBE.

Cell: 3.630 3.630 10.827 Å, 90.00 90.00 90.00°
Fractional coordinates of all 8 atoms:
Pa: 0.000 0.000 0.000
Ge: 0.000 0.500 0.773
Ge: 0.500 0.000 0.773
Mn: 0.500 0.500 0.607
Mn: 0.500 0.500 0.393
Al: 0.000 0.000 0.500
Ge: 0.500 0.000 0.227
Ge: 0.000 0.500 0.227

Summary:
ΔE_f	0.091	eV/atom
symmetry	P4/mmm
calculated volume	143	Å³/cell
mass density	7.66	g cm⁻³
N(E_F)	0.903	states/eV per atom



[12]
A relaxed NaH3Pd crystal. Source: Alexandria via LeMat-Bulk, functional GGA-PBE.

Cell: 6.659 6.659 6.659 Å, 60.00 60.00 60.00°
Fractional coordinates of all 20 atoms:
H: 0.305 0.695 0.305
H: 0.305 0.305 0.695
Pd: 0.625 0.625 0.125
H: 0.555 0.945 0.555
H: 0.695 0.305 0.305
Na: 0.125 0.125 0.625
Pd: 0.125 0.625 0.625
H: 0.555 0.945 0.945
Na: 0.125 0.125 0.125
H: 0.305 0.695 0.695
H: 0.945 0.945 0.555
H: 0.555 0.555 0.945
H: 0.945 0.555 0.945
Pd: 0.625 0.125 0.625
H: 0.695 0.695 0.305
Na: 0.125 0.625 0.125
Na: 0.625 0.125 0.125
Pd: 0.625 0.625 0.625
H: 0.945 0.555 0.555
H: 0.695 0.305 0.695

Summary:
energy above the lowest structure with this stoichiometry	0.188	eV per atom
symmetry	Fd-3m
calculated volume	209	Å³/cell
mass density	4.21	g cm⁻³
N(E_F)	0.223	states/eV per atom



Quick rundown of magnetization, same order as above: 0.00, 0.00, 0.00, 0.00, 0.44, 0.00, 0.00, 0.00, 0.26, 0.00, 0.44, 0.00 μB/atom